Record 1
Entry from OQMD via LeMat-Bulk: an optimized crystal structure of RbPrPO (PBE).

Lattice parameters (Å, degrees): 6.037 6.037 5.243 90.00 90.00 90.00
Fractional coordinates of all 8 atoms:
1 Rb 0.750 0.750 0.008
2 Pr 0.750 0.250 0.500
3 O 0.250 0.750 0.000
4 O 0.750 0.250 0.000
5 Rb 0.250 0.250 0.992
6 Pr 0.250 0.750 0.500
7 P 0.750 0.750 0.508
8 P 0.250 0.250 0.492

Uncorrected energy, eV/atom: -4.979
Theoretical density, g/cm3: 4.8

Record 2
Entry from OQMD via LeMat-Bulk: an optimized crystal structure of Nd2CoCuGe4 (PBE).

Lattice parameters (Å, degrees): 4.255 8.726 8.726 28.20 90.00 90.00
Fractional coordinates of all 8 atoms:
1 Cu 0.000 0.676 0.676
2 Ge 0.000 0.537 0.537
3 Nd 0.500 0.111 0.111
4 Ge 0.000 0.255 0.255
5 Ge 0.500 0.754 0.754
6 Co 0.500 0.317 0.317
7 Nd 0.000 0.896 0.896
8 Ge 0.500 0.454 0.454

Uncorrected energy, eV/atom: -5.487
Theoretical density, g/cm3: 7.6

Record 3
Entry from OQMD via LeMat-Bulk: an optimized crystal structure of Gd2Al3Ga3 (PBE).

Lattice parameters (Å, degrees): 4.561 6.343 6.343 60.00 90.00 90.00
Fractional coordinates of all 8 atoms:
1 Gd 0.500 0.668 0.668
2 Al 0.000 0.289 0.856
3 Gd 0.000 0.334 0.334
4 Al 0.000 0.856 0.289
5 Ga 0.000 0.853 0.853
6 Ga 0.500 0.707 0.149
7 Ga 0.500 0.149 0.707
8 Al 0.500 0.144 0.144

Uncorrected energy, eV/atom: -4.204
Theoretical density, g/cm3: 6.3

Record 4
Entry from OQMD via LeMat-Bulk: an optimized crystal structure of PrHo3Cu4 (PBE).

Lattice parameters (Å, degrees): 5.398 4.487 7.133 90.00 90.80 90.00
Fractional coordinates of all 8 atoms:
1 Cu 0.629 0.000 0.477
2 Ho 0.133 0.000 0.322
3 Ho 0.363 0.000 0.814
4 Pr 0.632 0.500 0.181
5 Ho 0.866 0.500 0.680
6 Cu 0.882 0.000 0.959
7 Cu 0.127 0.500 0.028
8 Cu 0.368 0.500 0.540

Theoretical density, g/cm3: 8.6
Energy of formation, meV/atom: -239

Record 5
Entry from OQMD via LeMat-Bulk: an optimized crystal structure of DyHo2Ga3AgIr2 (PBE).

Lattice parameters (Å, degrees): 3.847 7.311 7.311 120.12 90.00 90.00
Fractional coordinates of all 9 atoms:
1 Ga 0.500 0.272 0.000
2 Ga 0.500 0.729 0.729
3 Ir 0.500 0.668 0.333
4 Ho 0.000 0.000 0.589
5 Ir 0.500 0.333 0.668
6 Ho 0.000 0.589 0.000
7 Ag 0.000 0.999 0.999
8 Dy 0.000 0.411 0.411
9 Ga 0.500 0.000 0.272

Uncorrected energy, eV/atom: -5.538
Theoretical density, g/cm3: 11.1

Record 6
Entry from OQMD via LeMat-Bulk: an optimized crystal structure of KThNb (PBE).

Lattice parameters (Å, degrees): 5.225 5.225 5.225 60.00 60.00 60.00
Each line ends with the local moment (μB).
Fractional coordinates of all 3 atoms:
1 K 0.500 0.500 0.500  0.02
2 Th 0.000 0.000 0.000  0.27
3 Nb 0.250 0.250 0.250  1.58

Uncorrected energy, eV/atom: -4.560
Theoretical density, g/cm3: 6.0

Record 7
Entry from OQMD via LeMat-Bulk: an optimized crystal structure of Be2Mo3Pd2 (PBE).

Lattice parameters (Å, degrees): 4.225 4.225 6.674 71.55 71.55 60.00
Fractional coordinates of all 7 atoms:
1 Mo 0.092 0.092 0.724
2 Be 0.804 0.804 0.587
3 Be 0.236 0.236 0.292
4 Pd 0.933 0.933 0.200
5 Mo 0.376 0.376 0.873
6 Pd 0.519 0.519 0.443
7 Mo 0.665 0.665 0.006

Uncorrected energy, eV/atom: -7.206
Theoretical density, g/cm3: 9.0

Record 8
Entry from OQMD via LeMat-Bulk: an optimized crystal structure of CdFeSnMo (PBE).

Lattice parameters (Å, degrees): 4.592 4.592 4.592 60.00 60.00 60.00
Fractional coordinates of all 4 atoms:
1 Sn 0.000 0.000 0.000
2 Cd 0.500 0.500 0.500
3 Mo 0.250 0.250 0.250
4 Fe 0.750 0.750 0.750

Uncorrected energy, eV/atom: -5.510
Theoretical density, g/cm3: 9.3

Record 9
Entry from OQMD via LeMat-Bulk: an optimized crystal structure of Zr3InGa2NiIr2 (PBE).

Lattice parameters (Å, degrees): 3.429 7.308 7.308 119.99 90.00 90.00
Fractional coordinates of all 9 atoms:
1 Ni 0.500 0.979 0.979
2 In 0.000 0.253 0.253
3 Ir 0.000 0.337 0.675
4 Ga 0.000 0.002 0.744
5 Ir 0.000 0.675 0.337
6 Zr 0.500 0.405 0.995
7 Zr 0.500 0.995 0.405
8 Ga 0.000 0.744 0.002
9 Zr 0.500 0.609 0.609

Uncorrected energy, eV/atom: -7.137
Theoretical density, g/cm3: 10.2

Record 10
Entry from OQMD via LeMat-Bulk: an optimized crystal structure of SrTmIn4Ni2 (PBE).

Lattice parameters (Å, degrees): 7.701 5.674 5.674 45.05 90.00 90.00
Fractional coordinates of all 8 atoms:
1 In 0.693 0.850 0.850
2 Ni 0.000 0.720 0.720
3 In 0.307 0.850 0.850
4 Ni 0.500 0.282 0.282
5 Tm 0.500 0.561 0.561
6 In 0.205 0.149 0.149
7 Sr 0.000 0.439 0.439
8 In 0.795 0.149 0.149

Uncorrected energy, eV/atom: -3.886
Theoretical density, g/cm3: 7.9

Record 11
Entry from OQMD via LeMat-Bulk: an optimized crystal structure of NaPtW (PBE).

Lattice parameters (Å, degrees): 4.336 4.336 4.336 60.00 60.00 60.00
Fractional coordinates of all 3 atoms:
1 Pt 0.000 0.000 0.000
2 W 0.750 0.750 0.750
3 Na 0.250 0.250 0.250

Uncorrected energy, eV/atom: -5.976
Theoretical density, g/cm3: 11.6

Record 12
Entry from OQMD via LeMat-Bulk: an optimized crystal structure of NdSm2Al3Ni3 (PBE).

Lattice parameters (Å, degrees): 4.056 6.998 6.998 119.75 90.00 90.00
Fractional coordinates of all 9 atoms:
1 Ni 0.000 0.999 0.999
2 Al 0.500 0.998 0.229
3 Ni 0.500 0.669 0.333
4 Ni 0.500 0.333 0.669
5 Sm 0.000 0.582 0.000
6 Sm 0.000 0.000 0.582
7 Nd 0.000 0.419 0.419
8 Al 0.500 0.772 0.772
9 Al 0.500 0.229 0.998

Uncorrected energy, eV/atom: -5.223
Theoretical density, g/cm3: 6.8

Record 13
Entry from OQMD via LeMat-Bulk: an optimized crystal structure of AcPdNO (PBE).

Lattice parameters (Å, degrees): 5.242 5.242 4.717 90.00 90.00 90.00
Fractional coordinates of all 8 atoms:
1 Ac 0.000 0.500 0.500
2 O 0.000 0.500 0.000
3 Ac 0.500 0.000 0.500
4 O 0.500 0.000 0.000
5 N 0.000 0.000 0.501
6 N 0.500 0.500 0.499
7 Pd 0.500 0.500 0.999
8 Pd 0.000 0.000 0.001

Uncorrected energy, eV/atom: -6.412
Theoretical density, g/cm3: 9.3

Record 14
Entry from OQMD via LeMat-Bulk: an optimized crystal structure of BaTm3I (PBE).

Lattice parameters (Å, degrees): 5.775 5.775 5.775 90.00 90.00 90.00
Each line ends with the local moment (μB).
Fractional coordinates of all 5 atoms:
1 Tm 0.500 0.000 0.500  0.14
2 I 0.500 0.500 0.500  0.02
3 Tm 0.000 0.500 0.500  0.13
4 Tm 0.500 0.500 0.000  0.24
5 Ba 0.000 0.000 0.000  0.03

Uncorrected energy, eV/atom: -3.137
Theoretical density, g/cm3: 6.6

Record 15
Entry from OQMD via LeMat-Bulk: an optimized crystal structure of Er2Al2PtAu3 (PBE).

Lattice parameters (Å, degrees): 4.471 4.471 9.088 90.00 90.00 120.00
Fractional coordinates of all 8 atoms:
1 Au 0.000 0.000 0.412
2 Al 0.667 0.333 0.499
3 Au 0.333 0.667 0.913
4 Al 0.667 0.333 0.020
5 Er 0.333 0.667 0.241
6 Er 0.000 0.000 0.752
7 Pt 0.000 0.000 0.077
8 Au 0.333 0.667 0.585

Uncorrected energy, eV/atom: -4.946
Theoretical density, g/cm3: 12.4

Record 16
Entry from OQMD via LeMat-Bulk: an optimized crystal structure of CsCuCl3 (PBE).

Lattice parameters (Å, degrees): 7.184 7.184 5.967 90.00 90.00 120.01
Fractional coordinates of all 10 atoms:
1 Cu 0.000 0.000 0.500
2 Cs 0.667 0.333 0.750
3 Cu 0.000 0.000 0.000
4 Cl 0.313 0.156 0.250
5 Cl 0.844 0.156 0.250
6 Cs 0.333 0.667 0.250
7 Cl 0.844 0.687 0.250
8 Cl 0.156 0.844 0.750
9 Cl 0.156 0.313 0.750
10 Cl 0.687 0.844 0.750

Uncorrected energy, eV/atom: -3.100
Theoretical density, g/cm3: 3.8

Record 17
Entry from OQMD via LeMat-Bulk: an optimized crystal structure of Dy2HoS3 (PBE).

Lattice parameters (Å, degrees): 3.883 3.883 9.565 90.00 90.00 120.00
Fractional coordinates of all 6 atoms:
1 S 0.000 0.000 0.000
2 Ho 0.000 0.000 0.500
3 Dy 0.667 0.333 0.833
4 Dy 0.333 0.667 0.167
5 S 0.667 0.333 0.334
6 S 0.333 0.667 0.666

Uncorrected energy, eV/atom: -6.348
Theoretical density, g/cm3: 7.8

Record 18
Entry from OQMD via LeMat-Bulk: an optimized crystal structure of Ho2ReB2 (PBE).

Lattice parameters (Å, degrees): 6.847 5.173 10.177 90.00 90.00 90.00
Fractional coordinates of all 20 atoms:
1 Re 0.724 0.250 0.364
2 B 0.683 0.750 0.051
3 Ho 0.312 0.750 0.950
4 Ho 0.027 0.250 0.779
5 B 0.044 0.750 0.761
6 B 0.956 0.250 0.239
7 B 0.544 0.750 0.739
8 Re 0.276 0.750 0.636
9 Ho 0.812 0.750 0.550
10 B 0.183 0.750 0.449
11 Ho 0.188 0.250 0.450
12 B 0.456 0.250 0.261
13 Ho 0.688 0.250 0.050
14 Re 0.224 0.250 0.136
15 Ho 0.527 0.250 0.721
16 Ho 0.473 0.750 0.279
17 Re 0.776 0.750 0.864
18 Ho 0.973 0.750 0.221
19 B 0.317 0.250 0.949
20 B 0.817 0.250 0.551

Uncorrected energy, eV/atom: -7.176
Theoretical density, g/cm3: 9.9

Record 19
Entry from OQMD via LeMat-Bulk: an optimized crystal structure of LiTaO3 (PBE).

Lattice parameters (Å, degrees): 3.910 3.910 4.002 90.00 90.00 90.00
Fractional coordinates of all 5 atoms:
1 Ta 0.500 0.500 0.787
2 O 0.500 0.500 0.327
3 Li 0.000 0.000 0.069
4 O 0.000 0.500 0.858
5 O 0.500 0.000 0.858

Uncorrected energy, eV/atom: -8.358
Theoretical density, g/cm3: 6.4

Record 20
Entry from OQMD via LeMat-Bulk: an optimized crystal structure of BeCuReAs (PBE).

Lattice parameters (Å, degrees): 4.184 4.184 4.184 60.00 60.00 60.00
Fractional coordinates of all 4 atoms:
1 As 0.000 0.000 0.000
2 Cu 0.750 0.750 0.750
3 Re 0.250 0.250 0.250
4 Be 0.500 0.500 0.500

Uncorrected energy, eV/atom: -5.696
Theoretical density, g/cm3: 10.7